DFT (PBE) results for crystalline KLi3Bi2 at its relaxed geometry.

Summary:
The density of states at the Fermi level is 0.59 states/eV per atom. Its formation enthalpy at 0 K is -0.40 eV per atom. As for the offset from the most stable computed form: 10 meV per atom. For the total magnetization, the calculation gives 0.000 μB per atom.

Unit cell a=17.3934 b=4.9388 c=8.6523 alpha=90.00 beta=113.19 gamma=90.00
Last column: nearest neighbours and their distance in Å.
Space group C2/m (No. 12)
Unique sites:
K 0.1602 0.0000 0.0876  8 Li 3.69-4.12, 7 Bi 3.72-4.01
Li 0.0053 0.0000 0.3402  3 Li 2.84-3.03, 4 Bi 2.90-3.06
Li 0.0989 0.5000 0.6747  3 Bi 2.81-2.87, 3 Li 2.90-3.03
Li 0.1909 0.5000 0.4581  4 Bi 2.90-3.01, 3 Li 2.90-3.11
Bi 0.0252 0.5000 0.1844  4 Li 2.87-2.92, 1 Bi 2.96
Bi 0.1647 0.0000 0.6311  7 Li 2.81-3.06

---

DFT (PBE) results for crystalline Pa6PSe5 at its relaxed geometry.

Summary:
The formation energy from raw total energies comes out at -1240.0 meV per atom. The density of states at the Fermi level is 1.80 states/eV per atom. For the total magnetization, the calculation gives 0.002 μB per atom.

Unit cell a=7.3083 b=12.2351 c=6.6910 alpha=90.00 beta=109.85 gamma=90.00
Last column: nearest neighbours and their distance in Å.
Space group C2/m (No. 12)
Unique sites:
Pa 0.2372 0.0000 0.2533  1 P 2.77, 5 Se 2.88-2.96
Pa 0.2401 0.1609 0.7400  1 P 2.76, 5 Se 2.86-2.92
P 0.0000 0.0000 0.5000  6 Pa 2.76-2.77
Se 0.0000 0.1728 0.0000  6 Pa 2.86-2.92
Se 0.0000 0.3354 0.5000  6 Pa 2.87-2.88
Se 0.0000 0.5000 0.0000  6 Pa 2.88-2.96

---

DFT (PBE) results for crystalline Fe2IrRh9 at its relaxed geometry.

Summary:
The density of states at the Fermi level is 1.28 states/eV per atom. Its formation enthalpy at 0 K is -0.03 eV per atom. For the total magnetization, the calculation gives 0.604 μB per atom.

Unit cell a=3.8252 b=3.8252 c=11.4502 alpha=90.00 beta=90.00 gamma=90.00
Last column: nearest neighbours and their distance in Å.
Space group P4/mmm (No. 123)
Unique sites:
Fe 0.0000 0.0000 0.1636  12 Rh 2.68-2.72
Ir 0.0000 0.0000 0.5000  12 Rh 2.70-2.71
Rh 0.0000 0.5000 0.0000  4 Fe 2.68, 8 Rh 2.70
Rh 0.0000 0.5000 0.3320  8 Rh 2.69-2.71, 2 Ir 2.71, 2 Fe 2.72
Rh 0.5000 0.5000 0.1664  8 Rh 2.69-2.70, 4 Fe 2.70
Rh 0.5000 0.5000 0.5000  4 Ir 2.70, 8 Rh 2.71

---

DFT (PBE) results for crystalline Ac4GaNi at its relaxed geometry.

Summary:
The density of states at the Fermi level is 1.10 states/eV per atom. Its formation enthalpy at 0 K is -0.18 eV per atom. As for the offset from the most stable computed form: 32 meV per atom. For the total magnetization, the calculation gives 0.000 μB per atom.

Unit cell a=9.7018 b=15.6084 c=7.4194 alpha=90.00 beta=128.45 gamma=90.00
Last column: nearest neighbours and their distance in Å.
Space group C2/c (No. 15)
Unique sites:
Ac 0.1644 0.2128 0.1690  1 Ni 2.91, 1 Ga 3.22
Ac 0.2477 0.0378 0.7363  2 Ni 2.90-3.07
Ga 0.0000 0.3742 0.7500  8 Ac 3.22-3.52
Ni 0.0000 0.0792 0.2500  6 Ac 2.90-3.07

---

Which formula does entry 1 have?
KLi3Bi2

---

The highest density of states at the Fermi level belongs to which entry?
Pa6PSe5

---

What is the total magnetization in the third record?
0.604 μB per atom